A plane-wave DFT calculation with GGA+U was carried out for an optimized crystal structure of K3Ac3CrO8.

Crystal system: monoclinic
VASP energy, eV for the cell shown: -97.26

```
K3Ac3CrO8
1.0
6.368 -3.632 0.000
6.368 3.632 0.000
-4.179 0.000 6.329
K Ac Cr O
3 3 1 8
Direct
0.000 0.000 0.000 K
0.000 0.500 0.000 K
0.500 0.000 0.000 K
0.000 0.500 0.500 Ac
0.500 0.000 0.500 Ac
0.500 0.500 0.500 Ac
0.000 0.000 0.500 Cr
0.194 0.784 0.669 O
0.202 0.202 0.675 O
0.216 0.806 0.331 O
0.268 0.268 0.297 O
0.732 0.732 0.703 O
0.784 0.194 0.669 O
0.798 0.798 0.325 O
0.806 0.216 0.331 O
```